No. 1
16
Lattice="4.175 0.000 0.000 -2.088 3.616 0.000 0.000 0.000 28.261" Properties=species:S:1:pos:R:3 comment="Ca3CeSe4, optimized geometry, DFT PBE-GGA" space_group="P6_3/mmc (194)" raw_formation_energy_ev_per_atom=-1.93 dos_at_fermi_per_ev_cell=14.068 pbc="T T T"
Ca 0.000 0.000 0.000
Ca 0.000 0.000 14.131
Ca 0.000 2.411 3.449
Ca 0.000 2.411 10.681
Ca 2.088 1.205 17.580
Ca 2.088 1.205 24.812
Ce 0.000 2.411 21.196
Ce 2.088 1.205 7.065
Se 0.000 0.000 5.185
Se 0.000 0.000 8.946
Se 0.000 0.000 19.315
Se 0.000 0.000 23.076
Se 0.000 2.411 15.863
Se 0.000 2.411 26.529
Se 2.088 1.205 1.732
Se 2.088 1.205 12.398

No. 2
20
Lattice="-5.153 5.153 5.153 5.153 -5.153 5.153 5.153 5.153 -5.153" Properties=species:S:1:pos:R:3 comment="CaPr12Sn4N3, optimized geometry, DFT PBE-GGA" space_group="Im-3m (229)" raw_formation_energy_ev_per_atom=-0.50 dos_at_fermi_per_ev_cell=15.838 pbc="T T T"
Ca 0.000 0.000 0.000
Pr 2.799 0.000 0.000
Pr 7.508 0.000 0.000
Pr 5.153 2.577 0.000
Pr 5.153 0.000 2.577
Pr 0.000 2.799 0.000
Pr 0.000 0.000 2.799
Pr 2.577 5.153 0.000
Pr 2.577 0.000 5.153
Pr 0.000 7.508 0.000
Pr 0.000 0.000 7.508
Pr 0.000 5.153 2.577
Pr 0.000 2.577 5.153
Sn 2.577 2.577 -2.577
Sn 2.577 -2.577 2.577
Sn -2.577 2.577 2.577
Sn 2.577 2.577 2.577
N 5.153 0.000 0.000
N 0.000 5.153 0.000
N 0.000 0.000 5.153

No. 3
5
Lattice="5.046 0.000 0.000 0.000 5.046 0.000 0.000 0.000 5.314" Properties=species:S:1:pos:R:3 comment="CaHf2AgPt, optimized geometry, DFT PBE-GGA" space_group="P4/mmm (123)" delta_e_f_ev_per_atom=0.192 dos_at_fermi_per_ev_cell=5.771 pbc="T T T"
Ca 0.000 0.000 0.000
Hf 0.000 2.523 2.657
Hf 2.523 0.000 2.657
Ag 2.523 2.523 0.000
Pt 2.523 2.523 2.657